Record 1
This record from Alexandria describes KTl2HgCl5 after structural relaxation. The functional is GGA-PBE.

```
data_KTl2HgCl5
_cell_length_a 8.9382
_cell_length_b 8.9382
_cell_length_c 8.9382
_cell_angle_alpha 146.12
_cell_angle_beta 130.59
_cell_angle_gamma 61.26
_space_group_name_H-M_alt 'P 1'
_space_group_IT_number 1
loop_
_space_group_symop_operation_xyz
'x,y,z'
loop_
_atom_site_label
_atom_site_type_symbol
_atom_site_fract_x
_atom_site_fract_y
_atom_site_fract_z
_atom_site_occupancy
K1 K 0.0000 0.0000 0.0000 1
Tl1 Tl 0.2924 0.7924 0.5000 1
Tl2 Tl 0.7076 0.2076 0.5000 1
Hg1 Hg 0.5000 0.5000 0.0000 1
Cl1 Cl 0.1202 0.3732 0.7470 1
Cl2 Cl 0.3738 0.6268 0.7470 1
Cl3 Cl 0.5000 0.0000 0.5000 1
Cl4 Cl 0.6262 0.3732 0.2530 1
Cl5 Cl 0.8798 0.6268 0.2530 1
```

Output
**Raw formation energy**: -1.044 eV/atom
**Fermi-level density of states**: 0.0 states/eV per cell
**Density**: 4.58 g/cm³



Record 2
This record from Alexandria describes DyPuPdRh after structural relaxation. The functional is GGA-PBE.

```
data_DyPuPdRh
_cell_length_a 4.1326
_cell_length_b 5.8577
_cell_length_c 5.8577
_cell_angle_alpha 38.04
_cell_angle_beta 90.00
_cell_angle_gamma 90.00
_space_group_name_H-M_alt 'P 1'
_space_group_IT_number 1
loop_
_space_group_symop_operation_xyz
'x,y,z'
loop_
_atom_site_label
_atom_site_type_symbol
_atom_site_fract_x
_atom_site_fract_y
_atom_site_fract_z
_atom_site_occupancy
Dy1 Dy 0.0000 0.0000 0.0000 1
Pu1 Pu 0.5000 0.2793 0.2793 1
Pd1 Pd 0.5000 0.5586 0.5586 1
Rh1 Rh 0.0000 0.7394 0.7394 1
```

Output
**Energy relative to the lowest polymorph listed for this composition**: 0 meV/atom
**E_form**: -668 meV per atom
**Fermi-level density of states**: 11.2 states/eV per cell
**Density**: 11.70 g/cm³